# 1
Density functional theory data (PBE) for a relaxed structure of TaCoS4.

**Raw total energy**: -6.40 eV/atom
**Raw formation energy**: -0.49 eV/atom
**Crystal system**: monoclinic

a = 6.699 Å, b = 5.209 Å, c = 6.838 Å
α = 90.00°, β = 119.91°, γ = 90.00°
Space group P2_1/c (No. 14)
Asymmetric unit:
Ta  0.000  0.000  0.000 [2 per cell]
Co  0.500  0.000  0.000 [2 per cell]
S  0.190  0.236  0.356 [4 per cell]
S  0.334  0.721  0.148 [4 per cell]


# 2
Density functional theory data (PBE) for a relaxed structure of NaCo3Sb.

**Raw total energy**: -4.39 eV/atom
**Raw formation energy**: 0.96 eV/atom
**Crystal system**: cubic

a = 4.808 Å, b = 4.808 Å, c = 4.808 Å
α = 90.00°, β = 90.00°, γ = 90.00°
Space group Pm-3m (No. 221)
Asymmetric unit:
Na  0.000  0.000  0.000 [1 per cell]
Co  0.000  0.500  0.500 [3 per cell]
Sb  0.500  0.500  0.500 [1 per cell]